## TlAg2Mo2 (GGA-PBE)

Data for a relaxed structure of TlAg2Mo2.

Cell lengths 9.456, 7.161, 7.153 Å; angles 82.70, 48.69, 48.61 degrees
Element x y z (fractional)
Tl1 0.125 0.125 0.125
Tl2 0.875 0.875 0.875
Ag1 0.172 0.578 0.172
Ag2 0.422 0.828 0.422
Ag3 0.578 0.172 0.578
Ag4 0.828 0.422 0.828
Mo1 0.000 0.000 0.000
Mo2 0.000 0.000 0.500
Mo3 0.000 0.500 0.000
Mo4 0.500 0.000 0.000

Output
Uncorrected energy in eV/cell: -39.907

***

## TlAgMo (GGA-PBE)

Data for a relaxed structure of TlAgMo.

Cell lengths 6.513, 6.513, 6.513 Å; angles 90.00, 90.00, 90.00 degrees
Element x y z (fractional)
Tl1 0.000 0.000 0.000
Tl2 0.000 0.500 0.500
Tl3 0.500 0.000 0.500
Tl4 0.500 0.500 0.000
Ag1 0.000 0.000 0.500
Ag2 0.000 0.500 0.000
Ag3 0.500 0.000 0.000
Ag4 0.500 0.500 0.500
Mo1 0.250 0.250 0.750
Mo2 0.250 0.750 0.250
Mo3 0.750 0.250 0.250
Mo4 0.750 0.750 0.750

Output
Excess energy over the best structure of this formula in the dataset in meV/atom: 0
Uncorrected energy in eV/cell: -50.945

***

## TmAgMo (GGA-PBE)

Data for a relaxed structure of TmAgMo.

Cell lengths 6.592, 6.592, 6.592 Å; angles 90.00, 90.00, 90.00 degrees
Element x y z (fractional)
Tm1 0.000 0.000 0.000
Tm2 0.000 0.500 0.500
Tm3 0.500 0.000 0.500
Tm4 0.500 0.500 0.000
Ag1 0.000 0.000 0.500
Ag2 0.000 0.500 0.000
Ag3 0.500 0.000 0.000
Ag4 0.500 0.500 0.500
Mo1 0.250 0.250 0.750
Mo2 0.250 0.750 0.250
Mo3 0.750 0.250 0.250
Mo4 0.750 0.750 0.750

Output
Energy relative to the elements in eV/atom: 0.957
Excess energy over the best structure of this formula in the dataset in meV/atom: 0
Uncorrected energy in eV/cell: -61.110